1.
A relaxed RbHfTa2Re crystal. Source: Alexandria via LeMat-Bulk, functional GGA-PBE.

Summary:
space group: P4/mmm (123)
total magnetic moment: 0.00 μB/cell
DFT total energy: -7.449 eV per atom
energy relative to the elements: 9.8 eV per formula unit

Cell: 4.923 4.923 5.382 Å, 90.00 90.00 90.00°
Fractional coordinates of all 5 atoms:
Rb1 0.000 0.000 0.000
Hf1 0.500 0.500 0.000
Ta1 0.000 0.500 0.500
Ta2 0.500 0.000 0.500
Re1 0.000 0.000 0.500

2.
A relaxed RbHfTlRe2 crystal. Source: Alexandria via LeMat-Bulk, functional GGA-PBE.

Summary:
space group: P4/mmm (123)
total magnetic moment: 2.27 μB/cell
DFT total energy: -5.065 eV per atom
energy relative to the elements: 12.9 eV per formula unit

Cell: 5.215 5.215 5.357 Å, 90.00 90.00 90.00°
Fractional coordinates of all 5 atoms:
Rb1 0.000 0.000 0.000
Hf1 0.500 0.500 0.000
Tl1 0.500 0.500 0.500
Re1 0.000 0.500 0.500
Re2 0.500 0.000 0.500

3.
A relaxed Rb2HfZnRe crystal. Source: Alexandria via LeMat-Bulk, functional GGA-PBE.

Summary:
space group: P4/mmm (123)
total magnetic moment: 0.60 μB/cell
DFT total energy: -3.144 eV per atom
energy relative to the elements: 9.9 eV per formula unit

Cell: 6.042 6.042 5.016 Å, 90.00 90.00 90.00°
Fractional coordinates of all 5 atoms:
Rb1 0.000 0.500 0.000
Rb2 0.500 0.000 0.000
Hf1 0.000 0.000 0.500
Zn1 0.500 0.500 0.000
Re1 0.500 0.500 0.500

4.
A relaxed RbHf2Rh crystal. Source: Alexandria via LeMat-Bulk, functional GGA-PBE.

Summary:
space group: Fm-3m (225)
total magnetic moment: 0.00 μB/cell
E above lowest polymorph: 0 kJ/mol of formula units
DFT total energy: -6.300 eV per atom
energy relative to the elements: 3.0 eV per formula unit

Cell: 4.926 4.926 4.926 Å, 60.00 60.00 60.00°
Fractional coordinates of all 4 atoms:
Rb1 0.000 0.000 0.000
Hf1 0.250 0.250 0.250
Hf2 0.750 0.750 0.750
Rh1 0.500 0.500 0.500

5.
A relaxed Rb3HfRh crystal. Source: Alexandria via LeMat-Bulk, functional GGA-PBE.

Summary:
space group: Pm-3m (221)
total magnetic moment: 2.47 μB/cell
E above lowest polymorph: 0 kJ/mol of formula units
DFT total energy: -2.578 eV per atom
energy relative to the elements: 7.3 eV per formula unit

Cell: 6.215 6.215 6.215 Å, 90.00 90.00 90.00°
Fractional coordinates of all 5 atoms:
Rb1 0.000 0.000 0.500
Rb2 0.000 0.500 0.000
Rb3 0.500 0.000 0.000
Hf1 0.500 0.500 0.500
Rh1 0.000 0.000 0.000

6.
A relaxed RbHfRh3 crystal. Source: Alexandria via LeMat-Bulk, functional GGA-PBE.

Summary:
space group: Pm-3m (221)
total magnetic moment: 0.36 μB/cell
E above lowest polymorph: 0 kJ/mol of formula units
DFT total energy: -5.982 eV per atom
energy relative to the elements: 3.1 eV per formula unit

Cell: 4.955 4.955 4.955 Å, 90.00 90.00 90.00°
Fractional coordinates of all 5 atoms:
Rb1 0.000 0.000 0.000
Hf1 0.500 0.500 0.500
Rh1 0.000 0.500 0.500
Rh2 0.500 0.000 0.500
Rh3 0.500 0.500 0.000

7.
A relaxed RbHf2Rh crystal. Source: Alexandria via LeMat-Bulk, functional GGA-PBE.

Summary:
space group: I4_1/amd (141)
total magnetic moment: 0.00 μB/cell
E above lowest polymorph: 67 kJ/mol of formula units
DFT total energy: -6.125 eV per atom
energy relative to the elements: 3.7 eV per formula unit

Cell: 9.175 9.175 9.175 Å, 141.05 141.05 56.25°
Fractional coordinates of all 8 atoms:
Rb1 0.375 0.625 0.750
Rb2 0.625 0.375 0.250
Hf1 0.000 0.000 0.000
Hf2 0.000 0.000 0.500
Hf3 0.000 0.500 0.000
Hf4 0.500 0.000 0.500
Rh1 0.125 0.875 0.250
Rh2 0.875 0.125 0.750

8.
A relaxed RbHfRh3 crystal. Source: Alexandria via LeMat-Bulk, functional GGA-PBE.

Summary:
space group: Pm-3m (221)
total magnetic moment: 0.00 μB/cell
E above lowest polymorph: 623 kJ/mol of formula units
DFT total energy: -4.691 eV per atom
energy relative to the elements: 9.5 eV per formula unit

Cell: 4.739 4.739 4.739 Å, 90.00 90.00 90.00°
Fractional coordinates of all 5 atoms:
Rb1 0.000 0.000 0.000
Hf1 0.500 0.500 0.500
Rh1 0.000 0.000 0.500
Rh2 0.000 0.500 0.000
Rh3 0.500 0.000 0.000

9.
A relaxed RbHfRh2Se crystal. Source: Alexandria via LeMat-Bulk, functional GGA-PBE.

Summary:
space group: P4/mmm (123)
total magnetic moment: 0.00 μB/cell
DFT total energy: -3.687 eV per atom
E_form (uncorrected): 2.13 eV/atom

Cell: 4.736 4.736 5.469 Å, 90.00 90.00 90.00°
Fractional coordinates of all 5 atoms:
Rb1 0.000 0.000 0.000
Hf1 0.000 0.000 0.500
Rh1 0.000 0.500 0.000
Rh2 0.500 0.000 0.000
Se1 0.500 0.500 0.500

10.
A relaxed RbHfTl2Rh crystal. Source: Alexandria via LeMat-Bulk, functional GGA-PBE.

Summary:
space group: P4/mmm (123)
total magnetic moment: 0.00 μB/cell
DFT total energy: -2.872 eV per atom
energy relative to the elements: 8.6 eV per formula unit

Cell: 5.766 5.766 4.805 Å, 90.00 90.00 90.00°
Fractional coordinates of all 5 atoms:
Rb1 0.000 0.000 0.000
Hf1 0.500 0.500 0.500
Tl1 0.000 0.500 0.000
Tl2 0.500 0.000 0.000
Rh1 0.000 0.000 0.500

11.
A relaxed RbYHf2Rh crystal. Source: Alexandria via LeMat-Bulk, functional GGA-PBE.

Summary:
space group: P4/mmm (123)
total magnetic moment: 0.00 μB/cell
DFT total energy: -4.804 eV per atom
energy relative to the elements: 10.7 eV per formula unit

Cell: 4.970 4.970 5.111 Å, 90.00 90.00 90.00°
Fractional coordinates of all 5 atoms:
Rb1 0.000 0.000 0.000
Y1 0.000 0.000 0.500
Hf1 0.000 0.500 0.000
Hf2 0.500 0.000 0.000
Rh1 0.500 0.500 0.500

12.
A relaxed Rb2HfRu4 crystal. Source: Alexandria via LeMat-Bulk, functional GGA-PBE.

Summary:
space group: I4/mmm (139)
total magnetic moment: 5.83 μB/cell
DFT total energy: -5.366 eV per atom
energy relative to the elements: 11.4 eV per formula unit

Cell: 9.459 9.459 9.459 Å, 149.56 149.56 43.58°
Fractional coordinates of all 7 atoms:
Rb1 0.156 0.156 0.000
Rb2 0.844 0.844 0.000
Hf1 0.500 0.500 0.000
Ru1 0.000 0.500 0.500
Ru2 0.365 0.365 0.000
Ru3 0.500 0.000 0.500
Ru4 0.635 0.635 0.000